[1]
The following is a DFT calculation (PBE) of crystalline AlSn2Sb2 at its relaxed geometry.

Properties
Formation energy from raw total energies ... 0.21 eV/atom
Total magnetic moment ... 0.0 μB per cell
Density of states at the Fermi level ... 6.04 states/eV/cell
Distance to the lowest polymorph of the same formula ... 0.0 meV/atom
SG ... P4/mbm, No. 127
Final energy ... -3.79 eV per atom

Unit cell a=8.086 b=8.086 c=4.275 alpha=90.00 beta=90.00 gamma=90.00
Positions (direct):
Al 0.000 0.000 0.000
Al 0.500 0.500 0.000
Sn 0.142 0.358 0.500
Sn 0.358 0.858 0.500
Sn 0.642 0.142 0.500
Sn 0.858 0.642 0.500
Sb 0.168 0.668 0.000
Sb 0.332 0.168 0.000
Sb 0.668 0.832 0.000
Sb 0.832 0.332 0.000

=====

[2]
The following is a DFT calculation (PBE) of crystalline ZrCdPO2 at its relaxed geometry.

Properties
Formation energy from raw total energies ... -0.15 eV/atom
Total magnetic moment ... 0.0 μB per cell
Density of states at the Fermi level ... 2.78 states/eV/cell
Distance to the lowest polymorph of the same formula ... 1216.1 meV/atom
SG ... P4/mmm, No. 123
Final energy ... -5.10 eV per atom

Unit cell a=4.065 b=4.065 c=4.982 alpha=90.00 beta=90.00 gamma=90.00
Positions (direct):
Zr 0.000 0.000 0.000
Cd 0.500 0.500 0.500
P 0.500 0.500 0.000
O 0.000 0.500 0.500
O 0.500 0.000 0.500

=====

[3]
The following is a DFT calculation (PBE) of crystalline LaAsSe4 at its relaxed geometry.

Properties
Formation energy from raw total energies ... -0.80 eV/atom
Total magnetic moment ... 0.0 μB per cell
Density of states at the Fermi level ... 1.41 states/eV/cell
SG ... P2_1/m, No. 11
Final energy ... -4.72 eV per atom

Unit cell a=6.187 b=9.605 c=6.380 alpha=90.00 beta=101.61 gamma=90.00
Positions (direct):
La 0.137 0.250 0.194
La 0.863 0.750 0.806
As 0.390 0.750 0.321
As 0.610 0.250 0.679
Se 0.199 0.564 0.097
Se 0.199 0.936 0.097
Se 0.231 0.250 0.682
Se 0.353 0.750 0.679
Se 0.647 0.250 0.321
Se 0.769 0.750 0.318
Se 0.801 0.064 0.903
Se 0.801 0.436 0.903